# MgTeSI2 | the Alexandria database | PBE-GGA | optimized geometry
# **V**: 35.4 Å³ per atom
# **Raw formation energy**: 7.51 kcal/mol of atoms
# **Polymorph energy (0 for the lowest one)**: 1.626 kcal/mol of atoms
# **DFT total energy**: -2.067 eV/atom
# **Magnetization**: 0.990 μB/f.u.
data_MgTeSI2
_cell_length_a 5.522
_cell_length_b 5.522
_cell_length_c 5.800
_cell_angle_alpha 90.00
_cell_angle_beta 90.00
_cell_angle_gamma 90.00
_symmetry_space_group_name_H-M 'P 4/m m m'
_symmetry_Int_Tables_number 123
_symmetry_space_group_name_Hall '-P 4 2'
loop_
_atom_site_label
_atom_site_type_symbol
_atom_site_fract_x
_atom_site_fract_y
_atom_site_fract_z
_atom_site_occupancy
Mg1 Mg 0.000 0.000 0.000 1
Te1 Te 0.000 0.000 0.500 1
S1 S 0.500 0.500 0.500 1
I1 I 0.000 0.500 0.000 1